Compound: Pr2AlGa6Cu
Source: Alexandria
Functional: PBE
Structure: relaxed

Results
N(E_F) in states/eV/f.u.: 4.0
Energy relative to the elements in eV per atom: -0.312

a = 12.323 Å, b = 12.323 Å, c = 12.323 Å
α = 30.14°, β = 30.14°, γ = 30.14°
Positions (direct):
Pr 0.120 0.120 0.120
Pr 0.299 0.299 0.299
Pr 0.701 0.701 0.701
Pr 0.880 0.880 0.880
Al 0.000 0.000 0.000
Al 0.500 0.500 0.500
Ga 0.052 0.658 0.658
Ga 0.232 0.232 0.672
Ga 0.232 0.672 0.232
Ga 0.328 0.768 0.768
Ga 0.342 0.342 0.948
Ga 0.342 0.948 0.342
Ga 0.658 0.052 0.658
Ga 0.658 0.658 0.052
Ga 0.672 0.232 0.232
Ga 0.768 0.328 0.768
Ga 0.768 0.768 0.328
Ga 0.948 0.342 0.342
Cu 0.432 0.432 0.432
Cu 0.568 0.568 0.568